Record 1
Below is a relaxed structure of POs2Au2, with properties calculated at the PBE level.

Structure (POSCAR):
```
POs2Au2
1.0
5.9899 0.0000 0.0000
0.0000 5.9899 0.0000
0.0000 0.0000 4.6003
P Os Au
2 4 4
Direct
0.0000 0.0000 0.0000 P
0.5000 0.5000 0.0000 P
0.1476 0.3524 0.0000 Os
0.3524 0.8524 0.0000 Os
0.6476 0.1476 0.0000 Os
0.8524 0.6476 0.0000 Os
0.1702 0.6702 0.5000 Au
0.3298 0.1702 0.5000 Au
0.6702 0.8298 0.5000 Au
0.8298 0.3298 0.5000 Au
```

Computed properties:
Spin magnetization in μB/f.u.: 0.0
Relative energy among the computed polymorphs in eV per formula unit: 0.00
Calculated formation energy in eV/atom: 0.276
Total energy in eV per atom: -6.61



Record 2
Below is a relaxed structure of NaPuZnTe3, with properties calculated at the PBE level.

Structure (POSCAR):
```
NaPuZnTe3
1.0
9.0148 0.0000 0.0000
0.0000 4.3939 0.0000
-2.6951 0.0000 10.0788
Na Pu Zn Te
2 2 2 6
Direct
0.2011 0.2500 0.2031 Na
0.7989 0.7500 0.7969 Na
0.3207 0.7500 0.8504 Pu
0.6793 0.2500 0.1496 Pu
0.0851 0.2500 0.6014 Zn
0.9149 0.7500 0.3986 Zn
0.0755 0.2500 0.8545 Te
0.2244 0.7500 0.5304 Te
0.4414 0.7500 0.1596 Te
0.5586 0.2500 0.8404 Te
0.7756 0.2500 0.4696 Te
0.9245 0.7500 0.1455 Te
```

Computed properties:
ΔE_f (raw) in eV/atom: -0.79
Spin magnetization in μB/f.u.: 5.0
Total energy in eV per atom: -5.18



Record 3
Below is a relaxed structure of MgZrHg2, with properties calculated at the PBE level.

Structure (POSCAR):
```
MgZrHg2
1.0
-3.8327 3.8327 3.2193
3.8327 -3.8327 3.2193
3.8327 3.8327 -3.2193
Mg Zr Hg
2 2 4
Direct
0.0000 0.0000 0.0000 Mg
0.7500 0.2500 0.5000 Mg
0.2500 0.7500 0.5000 Zr
0.5000 0.5000 0.0000 Zr
0.1136 0.6250 0.9886 Hg
0.3750 0.3636 0.4886 Hg
0.6364 0.1250 0.0114 Hg
0.8750 0.8864 0.5114 Hg
```

Computed properties:
Spin magnetization in μB/f.u.: 0.0
Calculated formation energy in eV/atom: 0.097
Total energy in eV per atom: -2.59



Record 4
Below is a relaxed structure of TbSm2HoEr6, with properties calculated at the PBE level.

Structure (POSCAR):
```
TbSm2HoEr6
1.0
4.4804 -7.4691 0.0000
4.4804 7.4691 0.0000
-1.4541 0.0000 9.4791
Tb Sm Ho Er
2 4 2 12
Direct
0.0196 0.9804 0.7500 Tb
0.9804 0.0196 0.2500 Tb
0.1942 0.2982 0.5431 Sm
0.2982 0.1942 0.0431 Sm
0.7018 0.8058 0.9569 Sm
0.8058 0.7018 0.4569 Sm
0.4074 0.5926 0.2500 Ho
0.5926 0.4074 0.7500 Ho
0.0217 0.5741 0.6859 Er
0.1250 0.7453 0.0572 Er
0.2547 0.8750 0.4428 Er
0.2919 0.5038 0.8805 Er
0.4259 0.9783 0.8141 Er
0.4962 0.7081 0.6195 Er
0.5038 0.2919 0.3805 Er
0.5741 0.0217 0.1859 Er
0.7081 0.4962 0.1195 Er
0.7453 0.1250 0.5572 Er
0.8750 0.2547 0.9428 Er
0.9783 0.4259 0.3141 Er
```

Computed properties:
Spin magnetization in μB/f.u.: 0.0
Calculated formation energy in eV/atom: 0.118
Total energy in eV per atom: -4.48



Record 5
Below is a relaxed structure of CrNi2, with properties calculated at the PBE level.

Structure (POSCAR):
```
CrNi2
1.0
-1.2377 1.7853 3.7113
1.2377 -1.7853 3.7113
1.2377 1.7853 -3.7113
Cr Ni
1 2
Direct
0.0000 0.0000 0.0000 Cr
0.3339 0.3339 0.0000 Ni
0.6661 0.6661 0.0000 Ni
```

Computed properties:
Spin magnetization in μB/f.u.: 0.0
Calculated formation energy in eV/atom: -0.028
Total energy in eV per atom: -7.09



Record 6
Below is a relaxed structure of Cu3Ni, with properties calculated at the PBE level.

Structure (POSCAR):
```
Cu3Ni
1.0
-1.8175 1.8175 3.5062
1.8175 -1.8175 3.5062
1.8175 1.8175 -3.5062
Cu Ni
3 1
Direct
0.0000 0.0000 0.0000 Cu
0.2500 0.7500 0.5000 Cu
0.7500 0.2500 0.5000 Cu
0.5000 0.5000 0.0000 Ni
```

Computed properties:
Spin magnetization in μB/f.u.: 0.0
Calculated formation energy in eV/atom: 0.005
Total energy in eV per atom: -4.51



- Which of these has the highest spin magnetization?
  NaPuZnTe3



Copy entry 5 word for word.
Below is a relaxed structure of CrNi2, with properties calculated at the PBE level.

Structure (POSCAR):
```
CrNi2
1.0
-1.2377 1.7853 3.7113
1.2377 -1.7853 3.7113
1.2377 1.7853 -3.7113
Cr Ni
1 2
Direct
0.0000 0.0000 0.0000 Cr
0.3339 0.3339 0.0000 Ni
0.6661 0.6661 0.0000 Ni
```

Computed properties:
Spin magnetization in μB/f.u.: 0.0
Calculated formation energy in eV/atom: -0.028
Total energy in eV per atom: -7.09



- Number 3 is which compound?
  MgZrHg2



- The lowest total energy belongs to which entry?
  CrNi2